ZrRuCl2 | PBEsol | optimized geometry

Output
Uncorrected energy   -5.940 eV/atom
Energy relative to the elements, uncorrected   -12 kJ per mole of atoms
Crystal system   tetragonal
E above lowest polymorph   0.477 eV per atom

Lattice parameters (Å, degrees): 5.3351 5.3351 5.3351 139.51 139.51 58.61
Element x y z (fractional)
Zr  0.0000  0.0000  0.0000
Ru  0.2500  0.7500  0.5000
Cl  0.5000  0.5000  0.0000
Cl  0.7500  0.2500  0.5000